Material: TaMoN2
Method: DFT, PBEsol
State: relaxed

Unit cell a=3.815 b=3.815 c=3.815 alpha=60.00 beta=60.00 gamma=60.00
Fractional positions:
Mo  0.000  0.000  0.000
N  0.250  0.250  0.250
N  0.750  0.750  0.750
Ta  0.500  0.500  0.500

Results
The energy comes out at -10.558 eV/atom. The uncorrected formation energy is -0.215 eV per atom.

Material: TaMoN3
Method: DFT, PBEsol
State: relaxed

Unit cell a=3.834 b=3.834 c=3.834 alpha=90.00 beta=90.00 gamma=90.00
Fractional positions:
Mo  0.000  0.000  0.000
N  0.000  0.500  0.000
N  0.000  0.000  0.500
N  0.500  0.000  0.000
Ta  0.500  0.500  0.500

Results
The energy comes out at -9.544 eV/atom. The uncorrected formation energy is 0.435 eV per atom.

Material: TcTeMoN2
Method: DFT, PBEsol
State: relaxed

Unit cell a=3.882 b=3.882 c=5.597 alpha=90.00 beta=90.00 gamma=90.00
Fractional positions:
Mo  0.000  0.000  0.000
Te  0.000  0.000  0.500
Tc  0.500  0.500  0.500
N  0.000  0.500  0.000
N  0.500  0.000  0.000

Results
The energy comes out at -7.782 eV/atom. The uncorrected formation energy is 0.941 eV per atom.

Material: TeMoN2
Method: DFT, PBEsol
State: relaxed

Unit cell a=3.168 b=3.168 c=6.770 alpha=76.47 beta=76.47 gamma=60.00
Fractional positions:
Mo  0.000  0.000  0.000
Te  0.500  0.500  0.500
N  0.900  0.900  0.301
N  0.100  0.100  0.699

Results
The energy comes out at -7.181 eV/atom. The uncorrected formation energy is 0.906 eV per atom.

Material: TlTeMoN2
Method: DFT, PBEsol
State: relaxed

Unit cell a=4.019 b=4.019 c=5.528 alpha=90.00 beta=90.00 gamma=90.00
Fractional positions:
Tl  0.500  0.500  0.500
Te  0.000  0.000  0.500
Mo  0.000  0.000  0.000
N  0.000  0.500  0.000
N  0.500  0.000  0.000

Results
The energy comes out at -6.576 eV/atom. The uncorrected formation energy is 0.419 eV per atom.

Material: TiMoN3
Method: DFT, PBEsol
State: relaxed

Unit cell a=3.814 b=3.814 c=3.814 alpha=90.00 beta=90.00 gamma=90.00
Fractional positions:
Mo  0.500  0.500  0.500
N  0.000  0.500  0.000
N  0.000  0.000  0.500
N  0.500  0.000  0.000
Ti  0.000  0.000  0.000

Results
The energy comes out at -8.558 eV/atom. The uncorrected formation energy is 0.576 eV per atom.

Material: Tl2MoN
Method: DFT, PBEsol
State: relaxed

Unit cell a=4.650 b=4.650 c=4.650 alpha=60.00 beta=60.00 gamma=60.00
Fractional positions:
Tl  0.250  0.250  0.250
Tl  0.750  0.750  0.750
Mo  0.500  0.500  0.500
N  0.000  0.000  0.000

Results
The energy comes out at -4.716 eV/atom. The uncorrected formation energy is 1.673 eV per atom.

Material: MoW3N
Method: DFT, PBEsol
State: relaxed

Unit cell a=4.636 b=4.636 c=4.636 alpha=90.00 beta=90.00 gamma=90.00
Fractional positions:
Mo  0.000  0.000  0.000
W  0.000  0.500  0.000
W  0.000  0.000  0.500
W  0.500  0.000  0.000
N  0.500  0.500  0.500

Results
The energy comes out at -8.987 eV/atom. The uncorrected formation energy is 3.356 eV per atom.

Please write out number 6 again, unchanged.
Material: TiMoN3
Method: DFT, PBEsol
State: relaxed

Unit cell a=3.814 b=3.814 c=3.814 alpha=90.00 beta=90.00 gamma=90.00
Fractional positions:
Mo  0.500  0.500  0.500
N  0.000  0.500  0.000
N  0.000  0.000  0.500
N  0.500  0.000  0.000
Ti  0.000  0.000  0.000

Results
The energy comes out at -8.558 eV/atom. The uncorrected formation energy is 0.576 eV per atom.

> What is the formula in the second record?

TaMoN3

> Look up the uncorrected formation energy of the eighth one.

3.356 eV per atom